# MnPb2WO6 (PBE with a Hubbard U, optimized geometry)
# - spin magnetization (μB/atom) = 0.50
# - D(E_F) (states/eV/f.u.) = 0.0
# - E_tot (eV for the cell shown) = -273.05
data_MnPb2WO6
_chemical_formula_sum 'Mn4 Pb8 W4 O24'
_space_group_name_H-M_alt 'P n m a'
_space_group_IT_number 62
_space_group_name_Hall '-P 2ac 2n'
_cell_length_a 11.8421
_cell_length_b 8.1623
_cell_length_c 5.9257
_cell_angle_alpha 90.00
_cell_angle_beta 90.00
_cell_angle_gamma 90.00
loop_
_atom_site_label
_atom_site_fract_x
_atom_site_fract_y
_atom_site_fract_z
Mn1 0.1158 0.2500 0.2373
Pb1 0.1476 0.5046 0.7018
W1 0.1187 0.7500 0.2506
O1 0.0037 0.7500 0.4796
O2 0.0183 0.7500 0.0095
O3 0.1390 0.5120 0.2812
O4 0.2317 0.7500 0.5341
O5 0.2456 0.2500 0.5578